# 1
Below is an optimized crystal structure of Tb2HoRh3, with properties calculated at the GGA-PBE level. Values from VASP.

```
&SYSTEM
  ibrav = 0, nat = 12, ntyp = 3
/
ATOMIC_SPECIES
Tb 158.93 Tb.upf
Ho 164.93 Ho.upf
Rh 102.91 Rh.upf
CELL_PARAMETERS angstrom
-1.074 -4.152 2.274
-0.105 0.210 -4.848
11.425 -3.166 -0.385
ATOMIC_POSITIONS angstrom
Tb 5.712 -1.583 -0.192
Tb 1.488 -1.775 -2.539
Tb 8.758 -5.333 -0.420
Tb 0.000 0.000 0.000
Ho 7.182 -3.353 -2.730
Ho 3.064 -3.755 -0.229
Rh 4.334 -2.564 -2.635
Rh 0.214 -2.965 -0.133
Rh 8.555 -2.371 -0.288
Rh 2.870 -0.795 -0.097
Rh 10.032 -4.143 -2.826
Rh 5.911 -4.544 -0.325
```

Computed properties:
- energy of formation from the pure elements (meV per atom) = -867
- crystal system = trigonal
- ρ (g/cm3) = 10.86
- symmetry = No. 164
- energy above the most stable polymorph in this dataset (meV/atom) = 0



# 2
Below is an optimized crystal structure of TbHo3Rh2, with properties calculated at the GGA-PBE level. Values from VASP.

```
&SYSTEM
  ibrav = 0, nat = 12, ntyp = 3
/
ATOMIC_SPECIES
Tb 158.93 Tb.upf
Ho 164.93 Ho.upf
Rh 102.91 Rh.upf
CELL_PARAMETERS angstrom
4.680 0.000 0.000
0.000 7.151 0.000
0.000 0.000 8.669
ATOMIC_POSITIONS angstrom
Tb 2.340 3.663 5.069
Tb 2.340 0.087 3.600
Ho 0.000 3.487 7.937
Ho 0.000 7.062 0.732
Ho 2.340 4.584 1.450
Ho 2.340 1.009 7.219
Ho 0.000 2.569 2.869
Ho 0.000 6.144 5.800
Rh 2.340 5.318 7.286
Rh 2.340 1.743 1.383
Rh 0.000 1.832 5.735
Rh 0.000 5.407 2.934
```

Computed properties:
- energy of formation from the pure elements (meV per atom) = -670
- crystal system = orthorhombic
- ρ (g/cm3) = 9.84
- symmetry = No. 26
- energy above the most stable polymorph in this dataset (meV/atom) = 0



# 3
Below is an optimized crystal structure of Tb5Ho2Rh4, with properties calculated at the GGA-PBE level. Values from VASP.

```
&SYSTEM
  ibrav = 0, nat = 11, ntyp = 3
/
ATOMIC_SPECIES
Tb 158.93 Tb.upf
Ho 164.93 Ho.upf
Rh 102.91 Rh.upf
CELL_PARAMETERS angstrom
3.584 0.000 0.000
0.000 6.787 0.664
-1.792 -0.748 11.936
ATOMIC_POSITIONS angstrom
Tb 0.000 5.394 3.743
Tb 1.792 0.645 8.857
Tb 0.000 1.544 5.722
Tb 1.792 0.000 0.000
Tb 1.792 4.495 6.878
Ho 1.792 3.793 10.313
Ho 0.000 2.246 2.287
Rh 1.792 3.258 4.336
Rh 0.000 4.696 1.110
Rh 0.000 2.781 8.264
Rh 1.792 1.343 11.490
```

Computed properties:
- energy of formation from the pure elements (meV per atom) = -443
- crystal system = monoclinic
- ρ (g/cm3) = 8.73
- symmetry = No. 12



# 4
Below is an optimized crystal structure of TbHo2Rh2, with properties calculated at the GGA-PBE level. Values from VASP.

```
&SYSTEM
  ibrav = 0, nat = 10, ntyp = 3
/
ATOMIC_SPECIES
Tb 158.93 Tb.upf
Ho 164.93 Ho.upf
Rh 102.91 Rh.upf
CELL_PARAMETERS angstrom
3.922 0.000 0.000
0.000 7.274 0.000
-1.961 0.000 8.427
ATOMIC_POSITIONS angstrom
Tb 1.961 6.651 2.065
Tb 0.000 3.014 6.362
Ho 0.000 1.795 0.518
Ho 0.000 3.844 3.170
Ho 1.961 0.207 5.257
Ho 1.961 5.432 7.909
Rh 1.961 3.974 0.898
Rh 0.000 0.942 3.293
Rh 1.961 4.579 5.134
Rh 0.000 0.337 7.529
```

Computed properties:
- energy of formation from the pure elements (meV per atom) = -633
- crystal system = orthorhombic
- ρ (g/cm3) = 9.60
- symmetry = No. 36
- energy above the most stable polymorph in this dataset (meV/atom) = 0



# 5
Below is an optimized crystal structure of Tb2HoRh2, with properties calculated at the GGA-PBE level. Values from VASP.

```
&SYSTEM
  ibrav = 0, nat = 10, ntyp = 3
/
ATOMIC_SPECIES
Tb 158.93 Tb.upf
Ho 164.93 Ho.upf
Rh 102.91 Rh.upf
CELL_PARAMETERS angstrom
3.963 0.000 0.000
0.000 7.226 0.000
-1.982 0.000 8.494
ATOMIC_POSITIONS angstrom
Tb 0.000 1.799 0.528
Tb 0.000 3.839 3.236
Tb 1.982 0.226 5.259
Tb 1.982 5.412 7.966
Ho 1.982 6.609 2.039
Ho 0.000 2.996 6.455
Rh 1.982 3.973 0.921
Rh 0.000 0.873 3.271
Rh 1.982 4.486 5.223
Rh 0.000 0.360 7.573
```

Computed properties:
- energy of formation from the pure elements (meV per atom) = -626
- crystal system = orthorhombic
- ρ (g/cm3) = 9.40
- symmetry = No. 36
- energy above the most stable polymorph in this dataset (meV/atom) = 0



# 6
Below is an optimized crystal structure of TbHo4Rh, with properties calculated at the GGA-PBE level. Values from VASP.

```
&SYSTEM
  ibrav = 0, nat = 12, ntyp = 3
/
ATOMIC_SPECIES
Tb 158.93 Tb.upf
Ho 164.93 Ho.upf
Rh 102.91 Rh.upf
CELL_PARAMETERS angstrom
5.526 0.000 0.000
0.000 7.428 0.000
-2.763 0.000 9.167
ATOMIC_POSITIONS angstrom
Tb 2.763 5.801 6.962
Tb 0.000 2.087 2.205
Ho 2.763 2.086 7.012
Ho 0.000 5.800 2.156
Ho 0.000 0.216 9.159
Ho 2.763 3.930 0.009
Ho 2.763 3.912 3.735
Ho 0.000 0.198 5.433
Ho 2.763 0.265 3.721
Ho 0.000 3.979 5.446
Rh 2.763 5.796 1.863
Rh 0.000 2.082 7.305
```

Computed properties:
- energy of formation from the pure elements (meV per atom) = -175
- crystal system = orthorhombic
- ρ (g/cm3) = 8.13
- symmetry = No. 36



# 7
Below is an optimized crystal structure of Tb4HoRh2, with properties calculated at the GGA-PBE level. Values from VASP.

```
&SYSTEM
  ibrav = 0, nat = 14, ntyp = 3
/
ATOMIC_SPECIES
Tb 158.93 Tb.upf
Ho 164.93 Ho.upf
Rh 102.91 Rh.upf
CELL_PARAMETERS angstrom
6.384 0.000 0.000
0.000 7.249 -3.009
0.000 -0.044 7.882
ATOMIC_POSITIONS angstrom
Tb 3.211 2.949 4.782
Tb 1.596 1.775 1.902
Tb 4.788 5.430 2.970
Tb 6.364 2.949 4.782
Tb 4.788 0.110 2.958
Tb 0.020 4.257 0.090
Tb 3.172 4.257 0.090
Tb 1.596 7.096 1.915
Ho 1.596 6.062 5.121
Ho 4.788 1.143 -0.248
Rh 1.596 1.752 7.056
Rh 4.788 5.453 -2.183
Rh 4.788 2.687 2.104
Rh 1.596 4.518 2.768
```

Computed properties:
- energy of formation from the pure elements (meV per atom) = -464
- crystal system = monoclinic
- ρ (g/cm3) = 9.19
- symmetry = No. 11



# 8
Below is an optimized crystal structure of Tb2HoRh2, with properties calculated at the GGA-PBE level. Values from VASP.

```
&SYSTEM
  ibrav = 0, nat = 10, ntyp = 3
/
ATOMIC_SPECIES
Tb 158.93 Tb.upf
Ho 164.93 Ho.upf
Rh 102.91 Rh.upf
CELL_PARAMETERS angstrom
3.732 0.000 -0.572
0.000 4.636 0.000
0.136 0.000 13.346
ATOMIC_POSITIONS angstrom
Tb 0.208 1.159 1.360
Tb 3.660 3.477 11.414
Tb 2.804 1.159 5.830
Tb 1.065 3.477 6.944
Ho 1.455 1.159 9.490
Ho 2.413 3.477 3.283
Rh 0.640 1.159 4.174
Rh 3.229 3.477 8.600
Rh 1.868 1.159 12.183
Rh 2.001 3.477 0.591
```

Computed properties:
- energy of formation from the pure elements (meV per atom) = -616
- crystal system = orthorhombic
- ρ (g/cm3) = 9.89
- symmetry = No. 63
- energy above the most stable polymorph in this dataset (meV/atom) = 10



# 9
Below is an optimized crystal structure of Tb3Ho2Rh2, with properties calculated at the GGA-PBE level. Values from VASP.

```
&SYSTEM
  ibrav = 0, nat = 7, ntyp = 3
/
ATOMIC_SPECIES
Tb 158.93 Tb.upf
Ho 164.93 Ho.upf
Rh 102.91 Rh.upf
CELL_PARAMETERS angstrom
3.807 0.000 0.000
-1.904 5.994 -0.432
0.000 -3.321 8.246
ATOMIC_POSITIONS angstrom
Tb 1.904 0.000 0.000
Tb 1.904 -0.048 3.443
Tb 0.000 2.720 4.372
Ho 1.904 3.352 1.286
Ho 0.000 -0.680 6.529
Rh 1.904 1.318 5.988
Rh 0.000 1.354 1.826
```

Computed properties:
- energy of formation from the pure elements (meV per atom) = -576
- crystal system = monoclinic
- ρ (g/cm3) = 9.20
- symmetry = No. 12



# 10
Below is an optimized crystal structure of TbHo4Rh2, with properties calculated at the GGA-PBE level. Values from VASP.

```
&SYSTEM
  ibrav = 0, nat = 14, ntyp = 3
/
ATOMIC_SPECIES
Tb 158.93 Tb.upf
Ho 164.93 Ho.upf
Rh 102.91 Rh.upf
CELL_PARAMETERS angstrom
-1.021 -2.301 -5.835
-4.740 -5.486 2.992
-3.796 6.542 -1.915
ATOMIC_POSITIONS angstrom
Tb -7.937 1.180 -0.807
Tb -1.619 -2.425 -3.951
Ho -5.354 1.570 -3.160
Ho -2.708 0.256 -1.357
Ho -6.848 -1.501 -3.401
Ho -5.860 0.431 -6.048
Ho -2.301 0.691 -5.060
Ho -3.697 -1.676 1.290
Ho -4.202 -2.815 -1.599
Ho -7.255 -1.936 0.302
Rh -5.225 4.489 -2.586
Rh -4.331 -5.734 -2.172
Rh -4.096 -1.087 -4.046
Rh -5.461 -0.158 -0.713
```

Computed properties:
- energy of formation from the pure elements (meV per atom) = -492
- crystal system = monoclinic
- ρ (g/cm3) = 9.48
- symmetry = No. 11



Look up the energy of formation from the pure elements of the fifth one. -626 meV per atom



The lowest energy of formation from the pure elements belongs to which entry? Tb2HoRh3



What is the energy of formation from the pure elements in the ninth record? -576 meV per atom



Which formula does entry 2 have? TbHo3Rh2